DFT (GGA-PBEsol) results for a relaxed structure of La2SbP.

Properties
Energy above the most stable polymorph in this dataset (meV per atom): 186
Uncorrected energy (eV per atom): -6.45
Crystal system: orthorhombic
E_form (uncorrected) (eV per formula unit): -4.76
Calculated volume (Å³/f.u.): 114.3

The structure in CIF format:
```
data_La2SbP
_chemical_formula_sum 'La4 Sb2 P2'
_symmetry_space_group_name_H-M 'A m m 2'
_symmetry_Int_Tables_number 38
_symmetry_space_group_name_Hall 'A 2 -2'
_cell_length_a 4.6513
_cell_length_b 4.1724
_cell_length_c 11.7840
_cell_angle_alpha 90.00
_cell_angle_beta 90.00
_cell_angle_gamma 90.00
loop_
_atom_site_label
_atom_site_type_symbol
_atom_site_fract_x
_atom_site_fract_y
_atom_site_fract_z
La1 La 0.0000 0.0000 0.0000
La2 La 0.5000 0.0000 0.2543
Sb1 Sb 0.5000 0.0000 0.5243
P1 P 0.0000 0.0000 0.7566
```

---

DFT (GGA-PBEsol) results for a relaxed structure of LaSbP2.

Properties
Uncorrected energy (eV per atom): -6.02
Crystal system: monoclinic
E_form (uncorrected) (eV per formula unit): -2.60
Calculated volume (Å³/f.u.): 96.9

The structure in CIF format:
```
data_LaSbP2
_chemical_formula_sum 'La1 Sb1 P2'
_symmetry_space_group_name_H-M 'P 1 2/m 1'
_symmetry_Int_Tables_number 10
_symmetry_space_group_name_Hall '-P 2y'
_cell_length_a 4.2066
_cell_length_b 3.9710
_cell_length_c 5.9535
_cell_angle_alpha 90.00
_cell_angle_beta 102.94
_cell_angle_gamma 90.00
loop_
_atom_site_label
_atom_site_type_symbol
_atom_site_fract_x
_atom_site_fract_y
_atom_site_fract_z
La1 La 0.0000 0.0000 0.0000
Sb1 Sb 0.5000 0.0000 0.5000
P1 P 0.3936 0.5000 0.8115
```

---

DFT (GGA-PBEsol) results for a relaxed structure of La2SbP.

Properties
Energy above the most stable polymorph in this dataset (meV per atom): 0
Uncorrected energy (eV per atom): -6.64
Crystal system: trigonal
E_form (uncorrected) (eV per formula unit): -5.50
Calculated volume (Å³/f.u.): 119.5

The structure in CIF format:
```
data_La2SbP
_chemical_formula_sum 'La6 Sb3 P3'
_symmetry_space_group_name_H-M 'R -3 m'
_symmetry_Int_Tables_number 166
_symmetry_space_group_name_Hall '-R 3 2"'
_cell_length_a 4.3654
_cell_length_b 4.3654
_cell_length_c 21.7227
_cell_angle_alpha 90.00
_cell_angle_beta 90.00
_cell_angle_gamma 120.00
loop_
_atom_site_label
_atom_site_type_symbol
_atom_site_fract_x
_atom_site_fract_y
_atom_site_fract_z
La1 La 0.0000 0.0000 0.2428
Sb1 Sb 0.0000 0.0000 0.0000
P1 P 0.0000 0.0000 0.5000
```

---

DFT (GGA-PBEsol) results for a relaxed structure of LaSbP2.

Properties
Uncorrected energy (eV per atom): -6.12
Crystal system: monoclinic
E_form (uncorrected) (eV per formula unit): -2.99
Calculated volume (Å³/f.u.): 93.7

The structure in CIF format:
```
data_LaSbP2
_chemical_formula_sum 'La2 Sb2 P4'
_symmetry_space_group_name_H-M 'C 1 m 1'
_symmetry_Int_Tables_number 8
_symmetry_space_group_name_Hall 'C -2y'
_cell_length_a 11.0776
_cell_length_b 3.9648
_cell_length_c 4.2674
_cell_angle_alpha 90.00
_cell_angle_beta 91.38
_cell_angle_gamma 90.00
loop_
_atom_site_label
_atom_site_type_symbol
_atom_site_fract_x
_atom_site_fract_y
_atom_site_fract_z
La1 La 0.0000 0.0000 0.0000
Sb1 Sb 0.2352 0.0000 0.5378
P1 P 0.2169 0.5000 0.9640
P2 P 0.4572 0.0000 0.4982
```

---

DFT (GGA-PBEsol) results for a relaxed structure of LaSb2TeP.

Properties
Uncorrected energy (eV per atom): -3.76
Crystal system: tetragonal
E_form (uncorrected) (eV per formula unit): 4.99
Calculated volume (Å³/f.u.): 215.1

The structure in CIF format:
```
data_LaSb2TeP
_chemical_formula_sum 'La1 Sb2 Te1 P1'
_symmetry_space_group_name_H-M 'P 4/m m m'
_symmetry_Int_Tables_number 123
_symmetry_space_group_name_Hall '-P 4 2'
_cell_length_a 6.0200
_cell_length_b 6.0200
_cell_length_c 5.9358
_cell_angle_alpha 90.00
_cell_angle_beta 90.00
_cell_angle_gamma 90.00
loop_
_atom_site_label
_atom_site_type_symbol
_atom_site_fract_x
_atom_site_fract_y
_atom_site_fract_z
La1 La 0.0000 0.0000 0.0000
Sb1 Sb 0.0000 0.5000 0.0000
Te1 Te 0.0000 0.0000 0.5000
P1 P 0.5000 0.5000 0.5000
```

---

DFT (GGA-PBEsol) results for a relaxed structure of La2ZnSbP.

Properties
Uncorrected energy (eV per atom): -4.25
Crystal system: tetragonal
E_form (uncorrected) (eV per formula unit): 1.39
Calculated volume (Å³/f.u.): 176.1

The structure in CIF format:
```
data_La2ZnSbP
_chemical_formula_sum 'La2 Zn1 Sb1 P1'
_symmetry_space_group_name_H-M 'P 4/m m m'
_symmetry_Int_Tables_number 123
_symmetry_space_group_name_Hall '-P 4 2'
_cell_length_a 5.9484
_cell_length_b 5.9484
_cell_length_c 4.9760
_cell_angle_alpha 90.00
_cell_angle_beta 90.00
_cell_angle_gamma 90.00
loop_
_atom_site_label
_atom_site_type_symbol
_atom_site_fract_x
_atom_site_fract_y
_atom_site_fract_z
La1 La 0.0000 0.5000 0.0000
Zn1 Zn 0.0000 0.0000 0.5000
Sb1 Sb 0.5000 0.5000 0.0000
P1 P 0.5000 0.5000 0.5000
```

---

DFT (GGA-PBEsol) results for a relaxed structure of LaPW2Se.

Properties
Uncorrected energy (eV per atom): -7.47
Crystal system: tetragonal
E_form (uncorrected) (eV per formula unit): 5.25
Calculated volume (Å³/f.u.): 115.9

The structure in CIF format:
```
data_LaPW2Se
_chemical_formula_sum 'La1 P1 W2 Se1'
_symmetry_space_group_name_H-M 'P 4/m m m'
_symmetry_Int_Tables_number 123
_symmetry_space_group_name_Hall '-P 4 2'
_cell_length_a 4.5405
_cell_length_b 4.5405
_cell_length_c 5.6218
_cell_angle_alpha 90.00
_cell_angle_beta 90.00
_cell_angle_gamma 90.00
loop_
_atom_site_label
_atom_site_type_symbol
_atom_site_fract_x
_atom_site_fract_y
_atom_site_fract_z
La1 La 0.0000 0.0000 0.0000
P1 P 0.5000 0.5000 0.0000
W1 W 0.0000 0.5000 0.5000
Se1 Se 0.0000 0.0000 0.5000
```

---

DFT (GGA-PBEsol) results for a relaxed structure of LaSiP2.

Properties
Uncorrected energy (eV per atom): -6.36
Crystal system: tetragonal
E_form (uncorrected) (eV per formula unit): -2.77
Calculated volume (Å³/f.u.): 82.2

The structure in CIF format:
```
data_LaSiP2
_chemical_formula_sum 'La4 Si4 P8'
_symmetry_space_group_name_H-M 'I -4 2 d'
_symmetry_Int_Tables_number 122
_symmetry_space_group_name_Hall 'I -4 2bw'
_cell_length_a 6.8612
_cell_length_b 6.8612
_cell_length_c 6.9854
_cell_angle_alpha 90.00
_cell_angle_beta 90.00
_cell_angle_gamma 90.00
loop_
_atom_site_label
_atom_site_type_symbol
_atom_site_fract_x
_atom_site_fract_y
_atom_site_fract_z
La1 La 0.0000 0.0000 0.0000
Si1 Si 0.0000 0.0000 0.5000
P1 P 0.1681 0.7500 0.6250
```

---

DFT (GGA-PBEsol) results for a relaxed structure of LaSiP.

Properties
Uncorrected energy (eV per atom): -5.96
Crystal system: cubic
E_form (uncorrected) (eV per formula unit): -0.99
Calculated volume (Å³/f.u.): 71.6

The structure in CIF format:
```
data_LaSiP
_chemical_formula_sum 'La4 Si4 P4'
_symmetry_space_group_name_H-M 'F -4 3 m'
_symmetry_Int_Tables_number 216
_symmetry_space_group_name_Hall 'F -4 2 3'
_cell_length_a 6.5925
_cell_length_b 6.5925
_cell_length_c 6.5925
_cell_angle_alpha 90.00
_cell_angle_beta 90.00
_cell_angle_gamma 90.00
loop_
_atom_site_label
_atom_site_type_symbol
_atom_site_fract_x
_atom_site_fract_y
_atom_site_fract_z
La1 La 0.0000 0.0000 0.0000
Si1 Si 0.0000 0.0000 0.5000
P1 P 0.2500 0.2500 0.7500
```

---

DFT (GGA-PBEsol) results for a relaxed structure of LaSiP2.

Properties
Uncorrected energy (eV per atom): -6.18
Crystal system: orthorhombic
E_form (uncorrected) (eV per formula unit): -2.06
Calculated volume (Å³/f.u.): 77.7

The structure in CIF format:
```
data_LaSiP2
_chemical_formula_sum 'La2 Si2 P4'
_symmetry_space_group_name_H-M 'I m m m'
_symmetry_Int_Tables_number 71
_symmetry_space_group_name_Hall '-I 2 2'
_cell_length_a 3.4553
_cell_length_b 5.4212
_cell_length_c 8.2997
_cell_angle_alpha 90.00
_cell_angle_beta 90.00
_cell_angle_gamma 90.00
loop_
_atom_site_label
_atom_site_type_symbol
_atom_site_fract_x
_atom_site_fract_y
_atom_site_fract_z
La1 La 0.0000 0.0000 0.0000
Si1 Si 0.0000 0.0000 0.5000
P1 P 0.0000 0.5000 0.1901
```

---

DFT (GGA-PBEsol) results for a relaxed structure of La2SiTeP.

Properties
Uncorrected energy (eV per atom): -5.40
Crystal system: tetragonal
E_form (uncorrected) (eV per formula unit): -1.25
Calculated volume (Å³/f.u.): 153.4

The structure in CIF format:
```
data_La2SiTeP
_chemical_formula_sum 'La2 Si1 Te1 P1'
_symmetry_space_group_name_H-M 'P 4/m m m'
_symmetry_Int_Tables_number 123
_symmetry_space_group_name_Hall '-P 4 2'
_cell_length_a 5.5137
_cell_length_b 5.5137
_cell_length_c 5.0447
_cell_angle_alpha 90.00
_cell_angle_beta 90.00
_cell_angle_gamma 90.00
loop_
_atom_site_label
_atom_site_type_symbol
_atom_site_fract_x
_atom_site_fract_y
_atom_site_fract_z
La1 La 0.0000 0.5000 0.0000
Si1 Si 0.0000 0.0000 0.5000
Te1 Te 0.5000 0.5000 0.5000
P1 P 0.5000 0.5000 0.0000
```

---

DFT (GGA-PBEsol) results for a relaxed structure of SrLa3P.

Properties
Formation energy from the elements (eV per atom): -0.440
Uncorrected energy (eV per atom): -5.17
Crystal system: cubic
Calculated volume (Å³/f.u.): 187.7

The structure in CIF format:
```
data_SrLa3P
_chemical_formula_sum 'Sr1 La3 P1'
_symmetry_space_group_name_H-M 'P m -3 m'
_symmetry_Int_Tables_number 221
_symmetry_space_group_name_Hall '-P 4 2 3'
_cell_length_a 5.7252
_cell_length_b 5.7252
_cell_length_c 5.7252
_cell_angle_alpha 90.00
_cell_angle_beta 90.00
_cell_angle_gamma 90.00
loop_
_atom_site_label
_atom_site_type_symbol
_atom_site_fract_x
_atom_site_fract_y
_atom_site_fract_z
Sr1 Sr 0.0000 0.0000 0.0000
La1 La 0.0000 0.5000 0.5000
P1 P 0.5000 0.5000 0.5000
```